--- one ---
{
  "formula": "Cr3Mo4",
  "functional": "SCAN",
  "state": "single point on PBEsol structure",
  "lattice": [[3.0077, 0.0000, 0.0000], [0.0000, 3.0077, 0.0000], [-1.5038, -1.5038, 10.5157]],
  "species": ["Mo", "Mo", "Mo", "Mo", "Cr", "Cr", "Cr"],
  "frac_coords": [[0.8525, 0.8525, 0.7049], [0.4295, 0.4295, 0.8591], [0.1475, 0.1475, 0.2951], [0.5705, 0.5705, 0.1409], [0.7169, 0.7169, 0.4339], [0.2831, 0.2831, 0.5661], [0.0000, 0.0000, 0.0000]],
  "dos_ef_per_ev_cell": 4.01,
  "space_group": "No. 139"
}

--- two ---
{
  "formula": "Cr3Mo4",
  "functional": "SCAN",
  "state": "single point on PBEsol structure",
  "lattice": [[-3.2075, -3.5211, -0.2605], [4.6372, -0.9493, -0.5910], [0.4530, -0.7667, 4.7859]],
  "species": ["Mo", "Mo", "Mo", "Mo", "Cr", "Cr", "Cr"],
  "frac_coords": [[0.6667, 0.3333, 0.5000], [0.0000, 0.0000, 0.7476], [0.0000, 0.0000, 0.2524], [0.3333, 0.6667, 0.5000], [0.0000, 0.5000, 0.0000], [0.5000, 0.5000, 0.0000], [0.5000, 0.0000, 0.0000]],
  "dos_ef_per_ev_cell": 6.62,
  "space_group": "No. 191"
}

one ends up most stable, edging out the next structure by 32 meV per atom.

--- one ---
{
  "formula": "Cr4Mo",
  "functional": "SCAN",
  "state": "single point on PBEsol structure",
  "lattice": [[2.8892, 0.0000, 0.0000], [1.4446, 4.5609, 0.0000], [1.4446, 0.0000, 4.5609]],
  "species": ["Cr", "Cr", "Cr", "Cr", "Mo"],
  "frac_coords": [[0.1939, 0.2072, 0.4051], [0.8061, 0.7928, 0.5949], [0.5989, 0.5949, 0.2072], [0.4011, 0.4051, 0.7928], [0.0000, 0.0000, 0.0000]],
  "dos_ef_per_ev_cell": 2.90,
  "space_group": "No. 87"
}

--- two ---
{
  "formula": "Cr4Mo",
  "functional": "SCAN",
  "state": "single point on PBEsol structure",
  "lattice": [[-0.4909, -2.5609, -2.5851], [3.2600, -1.4684, 0.8356], [-3.4980, -0.8399, 4.1040]],
  "species": ["Cr", "Cr", "Cr", "Cr", "Mo"],
  "frac_coords": [[0.6141, 0.6141, 0.2282], [0.2500, 0.7500, 0.5000], [0.7500, 0.2500, 0.5000], [0.3859, 0.3859, 0.7718], [0.0000, 0.0000, 0.0000]],
  "dos_ef_per_ev_cell": 4.11,
  "space_group": "No. 139"
}

one ends up most stable, edging out the next structure by 644 meV per atom.

--- one ---
{
  "formula": "CrNi2Mo",
  "functional": "SCAN",
  "state": "single point on PBEsol structure",
  "lattice": [[3.5339, 0.0000, 0.0000], [0.0000, 3.5285, 0.0000], [-1.7669, -1.7643, 3.7552]],
  "species": ["Ni", "Ni", "Cr", "Mo"],
  "frac_coords": [[0.7500, 0.7500, 0.4999], [0.2500, 0.2500, 0.5001], [0.5000, 0.0000, 0.0000], [0.0000, 0.5000, 0.0000]],
  "dos_ef_per_ev_cell": 2.97,
  "space_group": "No. 139"
}

--- two ---
{
  "formula": "CrNi2Mo",
  "functional": "SCAN",
  "state": "single point on PBEsol structure",
  "lattice": [[3.5373, 0.0000, 0.0000], [0.0000, 3.5373, 0.0000], [0.0000, 0.0000, 3.7502]],
  "species": ["Ni", "Ni", "Mo", "Cr"],
  "frac_coords": [[0.0000, 0.5000, 0.0000], [0.5000, 0.0000, 0.0000], [0.0000, 0.0000, 0.5000], [0.5000, 0.5000, 0.5000]],
  "dos_ef_per_ev_cell": 2.00,
  "space_group": "No. 123"
}

two ends up most stable, edging out the next structure by 25 meV per atom.